SmSbS2 | GGA-PBE | relaxed

Calculated values
Space-group type ... R-3m
Mass density ... 4.8 g cm⁻³
Size of the total moment ... 0.00 μB/f.u.
Uncorrected energy ... -0.34459 Ry/atom

a b c (Å): 3.9638 3.9638 8.8410
angles (deg): 77.05 77.05 60.00
With the nearest neighbours (Å) after each atom.
Sites, in units of the cell vectors:
S  0.1073  0.1073  0.6781  3 Sb 2.75, 1 Sm 2.75
S  0.8927  0.8927  0.3219  3 Sb 2.75, 1 Sm 2.75
Sm  0.0000  0.0000  0.0000  2 S 2.75
Sb  0.5000  0.5000  0.5000  6 S 2.75